Entry 1:
Here is crystalline TiSiO2 at its relaxed geometry from Alexandria via LeMat-Bulk. Energies are from PBE.

a = 2.8928 Å, b = 2.8928 Å, c = 18.7170 Å
α = 90.00°, β = 90.00°, γ = 120.00°
Space group R-3m (No. 166, hexagonal axes)
Unique sites:
Ti 0.0000 0.0000 0.0000 x3
Si 0.0000 0.0000 0.5000 x3
O 0.0000 0.0000 0.3966 x6

Results
E_form (uncorrected) = -1984 meV/atom

---

Entry 2:
Here is crystalline K2Cd3Ge at its relaxed geometry from Alexandria via LeMat-Bulk. Energies are from PBE.

a = 9.639 Å, b = 9.689 Å, c = 17.160 Å
α = 90.00°, β = 90.00°, γ = 90.00°
Space group Fmmm (No. 69)
Unique sites:
K 0.238 0.000 0.000 x8
K 0.250 0.250 0.250 x8
Cd 0.000 0.000 0.175 x8
Cd 0.000 0.236 0.414 x16
Ge 0.000 0.000 0.334 x8

Results
ΔH_f (0 K) = -56 meV per atom

---

Entry 3:
Here is crystalline Tl2SiHSe4 at its relaxed geometry from Alexandria via LeMat-Bulk. Energies are from PBE.

a = 11.796 Å, b = 10.248 Å, c = 8.381 Å
α = 90.00°, β = 130.15°, γ = 90.00°
Space group C2/c (No. 15)
Unique sites:
Tl 0.000 0.000 0.000 x4
Tl 0.250 0.250 0.000 x4
Si 0.000 0.500 0.000 x4
H 0.250 0.250 0.500 x4
Se 0.004 0.278 0.524 x8
Se 0.213 0.435 0.480 x8

Results
E = -3.3859 eV per atom

---

Entry 4:
Here is crystalline YSnPt6 at its relaxed geometry from Alexandria via LeMat-Bulk. Energies are from PBE.

a = 4.099 Å, b = 4.099 Å, c = 8.167 Å
α = 90.00°, β = 90.00°, γ = 90.00°
Space group P4/mmm (No. 123)
Unique sites:
Y 0.000 0.000 0.000 x1
Sn 0.000 0.000 0.500 x1
Pt 0.000 0.500 0.255 x4
Pt 0.500 0.500 0.000 x1
Pt 0.500 0.500 0.500 x1

Results
ΔH_f (0 K) = -693 meV per atom

---

| no. | DOS at the Fermi energy (states/eV/atom) |
| --- | --- |
| 1 | 0.460 |
| 2 | 0.261 |
| 3 | 0.314 |
| 4 | 0.877 |